{"formula": "Mg2SnCl6", "functional": "GGA-PBE", "state": "optimized geometry", "lattice": [[7.1518, -0.1716, -0.1661], [1.8688, 8.9151, 0.0905], [1.8688, 0.3793, 8.9075]], "species": ["Cl", "Cl", "Cl", "Cl", "Cl", "Cl", "Cl", "Cl", "Cl", "Cl", "Cl", "Cl", "Mg", "Mg", "Mg", "Mg", "Sn", "Sn"], "frac_coords": [[0.9238, 0.5741, 0.7049], [0.8657, 0.8699, 0.3803], [0.5762, 0.2951, 0.4259], [0.3657, 0.3803, 0.8699], [0.8600, 0.2101, 0.0361], [0.6400, 0.9639, 0.7899], [0.4238, 0.7049, 0.5741], [0.1343, 0.1301, 0.6197], [0.6343, 0.6197, 0.1301], [0.1400, 0.7899, 0.9639], [0.0762, 0.4259, 0.2951], [0.3600, 0.0361, 0.2101], [0.7892, 0.3869, 0.2220], [0.2108, 0.6131, 0.7780], [0.7108, 0.7780, 0.6131], [0.2892, 0.2220, 0.3869], [0.7500, 0.8870, 0.1130], [0.2500, 0.1130, 0.8870]], "dft_energy_ha_per_atom": -0.130, "raw_formation_energy_ev_per_atom": -1.5092, "space_group": "C2/c", "n_ef_per_ev_cell": 0.00, "relative_energy_ev_per_atom": 0.041}